Material: SrSm2Tl2
Method: DFT, PBE
State: relaxed

a = 3.854 Å, b = 22.632 Å, c = 3.829 Å
α = 90.00°, β = 90.00°, γ = 90.00°
Space group Cmmm (No. 65)
Inequivalent atoms, fractional coordinates:
1 Sr 0.000 0.000 0.000 [2 per cell]
2 Sm 0.000 0.181 0.000 [4 per cell]
3 Tl 0.000 0.400 0.500 [4 per cell]

Properties
Its energy of formation from the pure elements is -184 meV per atom. Its total energy is -3.36 eV/atom.